# 1
Nd3Tl3AgPd2 after structural relaxation, computed with PBE.

abc: 8.0194 8.0194 3.9390
angles: 90.00 90.00 120.00
Space group P-62m (No. 189)
Unique sites:
Nd  0.0000  0.5904  0.0000 (multiplicity 3)
Tl  0.0000  0.2688  0.5000 (multiplicity 3)
Ag  0.0000  0.0000  0.0000 (multiplicity 1)
Pd  0.3333  0.6667  0.5000 (multiplicity 2)

Values from the calculation:
Total magnetic moment: 0.013 μB/f.u.
Final energy: -4.392 eV per atom

***

# 2
HoTlHgTe3 after structural relaxation, computed with PBE.

abc: 15.2452 4.4472 11.8461
angles: 90.00 90.00 90.00
Space group Pnma (No. 62)
Unique sites:
Ho  0.0251  0.2500  0.1567 (multiplicity 4)
Tl  0.2364  0.2500  0.4476 (multiplicity 4)
Hg  0.0202  0.7500  0.3938 (multiplicity 4)
Te  0.1007  0.2500  0.9209 (multiplicity 4)
Te  0.1010  0.7500  0.6264 (multiplicity 4)
Te  0.1562  0.7500  0.2306 (multiplicity 4)

Values from the calculation:
Total magnetic moment: 0.002 μB/f.u.
Final energy: -3.477 eV per atom

***

# 3
ErSnAsO after structural relaxation, computed with PBE.

abc: 4.0673 4.0673 10.0438
angles: 90.00 90.00 90.00
Space group P4/nmm (No. 129, origin choice 2)
Unique sites:
Er  0.2500  0.2500  0.0981 (multiplicity 2)
Sn  0.2500  0.7500  0.5000 (multiplicity 2)
As  0.2500  0.2500  0.7306 (multiplicity 2)
O  0.2500  0.7500  0.0000 (multiplicity 2)

Values from the calculation:
Total magnetic moment: 0.004 μB/f.u.
Final energy: -5.991 eV per atom